Record 1
Computed, not measured: an optimized crystal structure of Pr2IrF at the GGA-PBE level of DFT.

The structure in POSCAR format:
```
Pr2IrF
1.0
2.148 1.240 7.648
-2.148 1.240 7.648
0.000 -2.480 7.648
Pr Ir F
2 1 1
direct
0.102 0.102 0.102
0.898 0.898 0.898
0.500 0.500 0.500
0.000 0.000 0.000
```

* total moment: 0.00 μB/f.u.
* VASP energy: -6.72 eV per atom
* N(E_F): 1.84 states/eV/f.u.
* SG: No. 166
* E above lowest polymorph: 0.0 meV/atom
* formation energy (no corrections): -1645.3 meV per atom



Record 2
Computed, not measured: an optimized crystal structure of Pr3TeIrF at the GGA-PBE level of DFT.

The structure in POSCAR format:
```
Pr3TeIrF
1.0
9.047 0.000 0.000
0.000 4.218 0.000
-2.704 0.000 8.677
Pr Te Ir F
6 2 2 2
direct
0.063 0.250 0.289
0.291 0.250 0.968
0.326 0.750 0.624
0.674 0.250 0.376
0.709 0.750 0.032
0.937 0.750 0.711
0.357 0.750 0.271
0.643 0.250 0.729
0.114 0.250 0.635
0.886 0.750 0.365
0.413 0.750 0.916
0.587 0.250 0.084
```

* total moment: 0.00 μB/f.u.
* VASP energy: -6.27 eV per atom
* N(E_F): 2.92 states/eV/f.u.
* SG: No. 11
* formation energy (no corrections): -1572.0 meV per atom



Record 3
Computed, not measured: an optimized crystal structure of IrPt2F at the GGA-PBE level of DFT.

The structure in POSCAR format:
```
IrPt2F
1.0
-3.305 3.305 2.804
3.305 -3.305 2.804
3.305 3.305 -2.804
Ir Pt F
2 4 2
direct
0.000 0.000 0.000
0.750 0.250 0.500
0.142 0.625 0.017
0.375 0.392 0.517
0.608 0.125 0.983
0.875 0.858 0.483
0.250 0.750 0.500
0.500 0.500 0.000
```

* total moment: 0.00 μB/f.u.
* VASP energy: -5.33 eV per atom
* N(E_F): 5.35 states/eV/f.u.
* SG: No. 122
* E above lowest polymorph: 190.8 meV/atom
* formation energy (no corrections): 375.2 meV per atom



Record 4
Computed, not measured: an optimized crystal structure of Ir3PtF at the GGA-PBE level of DFT.

The structure in POSCAR format:
```
Ir3PtF
1.0
4.231 0.000 0.000
0.000 4.231 0.000
0.000 0.000 4.231
Ir Pt F
3 1 1
direct
0.000 0.000 0.500
0.000 0.500 0.000
0.500 0.000 0.000
0.500 0.500 0.500
0.000 0.000 0.000
```

* total moment: 0.00 μB/f.u.
* VASP energy: -5.56 eV per atom
* N(E_F): 9.61 states/eV/f.u.
* SG: No. 221
* E above lowest polymorph: 0.0 meV/atom
* formation energy (no corrections): 1335.8 meV per atom



Record 5
Computed, not measured: an optimized crystal structure of Ir3PtF at the GGA-PBE level of DFT.

The structure in POSCAR format:
```
Ir3PtF
1.0
4.844 0.000 0.000
0.000 4.844 0.000
0.000 0.000 4.844
Ir Pt F
3 1 1
direct
0.000 0.000 0.500
0.000 0.500 0.000
0.500 0.000 0.000
0.000 0.000 0.000
0.500 0.500 0.500
```

* total moment: 4.35 μB/f.u.
* VASP energy: -4.83 eV per atom
* N(E_F): 12.95 states/eV/f.u.
* SG: No. 221
* E above lowest polymorph: 735.2 meV/atom
* formation energy (no corrections): 2071.0 meV per atom



Record 6
Computed, not measured: an optimized crystal structure of IrPt2F at the GGA-PBE level of DFT.

The structure in POSCAR format:
```
IrPt2F
1.0
0.000 3.066 3.066
3.066 0.000 3.066
3.066 3.066 0.000
Ir Pt F
1 2 1
direct
0.000 0.000 0.000
0.250 0.250 0.250
0.750 0.750 0.750
0.500 0.500 0.500
```

* total moment: 0.00 μB/f.u.
* VASP energy: -5.52 eV per atom
* N(E_F): 3.41 states/eV/f.u.
* SG: No. 225
* E above lowest polymorph: 0.0 meV/atom
* formation energy (no corrections): 184.3 meV per atom



Record 7
Computed, not measured: an optimized crystal structure of Rb2IrPtF6 at the GGA-PBE level of DFT.

The structure in POSCAR format:
```
Rb2IrPtF6
1.0
-3.202 3.202 4.241
3.202 -3.202 4.241
3.202 3.202 -4.241
Rb Ir Pt F
2 1 1 6
direct
0.250 0.750 0.500
0.750 0.250 0.500
0.000 0.000 0.000
0.500 0.500 0.000
0.228 0.228 0.457
0.228 0.772 0.000
0.245 0.245 0.000
0.755 0.755 0.000
0.772 0.228 0.000
0.772 0.772 0.543
```

* total moment: 1.00 μB/f.u.
* VASP energy: -4.37 eV per atom
* N(E_F): 2.46 states/eV/f.u.
* SG: No. 139
* formation energy (no corrections): -1561.3 meV per atom



Record 8
Computed, not measured: an optimized crystal structure of IrPtRh2F at the GGA-PBE level of DFT.

The structure in POSCAR format:
```
IrPtRh2F
1.0
4.734 0.000 0.000
0.000 4.734 0.000
0.000 0.000 4.837
Ir Pt Rh F
1 1 2 1
direct
0.000 0.000 0.000
0.000 0.000 0.500
0.000 0.500 0.000
0.500 0.000 0.000
0.500 0.500 0.500
```

* total moment: 0.00 μB/f.u.
* VASP energy: -5.05 eV per atom
* N(E_F): 7.63 states/eV/f.u.
* SG: No. 123
* formation energy (no corrections): 1240.9 meV per atom



Record 9
Computed, not measured: an optimized crystal structure of IrRu2PtF at the GGA-PBE level of DFT.

The structure in POSCAR format:
```
IrRu2PtF
1.0
4.046 0.000 0.000
0.000 4.046 0.000
0.000 0.000 4.508
Ir Ru Pt F
1 2 1 1
direct
0.000 0.000 0.000
0.000 0.500 0.500
0.500 0.000 0.500
0.500 0.500 0.000
0.500 0.500 0.500
```

* total moment: 2.18 μB/f.u.
* VASP energy: -6.01 eV per atom
* N(E_F): 7.31 states/eV/f.u.
* SG: No. 123
* formation energy (no corrections): 1055.9 meV per atom



Record 10
Computed, not measured: an optimized crystal structure of PuIrF at the GGA-PBE level of DFT.

The structure in POSCAR format:
```
PuIrF
1.0
2.553 -2.537 0.000
2.553 2.537 0.000
-2.224 0.000 7.846
Pu Ir F
2 2 2
direct
0.073 0.073 0.226
0.927 0.927 0.774
0.312 0.312 0.591
0.688 0.688 0.409
0.000 0.500 0.000
0.500 0.000 0.000
```

* total moment: 4.19 μB/f.u.
* VASP energy: -9.84 eV per atom
* N(E_F): 7.37 states/eV/f.u.
* SG: No. 12
* formation energy (no corrections): -1486.6 meV per atom



Record 11
Computed, not measured: an optimized crystal structure of RbIrF2 at the GGA-PBE level of DFT.

The structure in POSCAR format:
```
RbIrF2
1.0
-2.451 2.451 6.946
2.451 -2.451 6.946
2.451 2.451 -6.946
Rb Ir F
2 2 4
direct
0.000 0.000 0.000
0.750 0.250 0.500
0.250 0.750 0.500
0.500 0.500 0.000
0.293 0.625 0.168
0.375 0.543 0.668
0.457 0.125 0.832
0.875 0.707 0.332
```

* total moment: 0.00 μB/f.u.
* VASP energy: -4.06 eV per atom
* N(E_F): 0.40 states/eV/f.u.
* SG: No. 122
* E above lowest polymorph: 451.1 meV/atom
* formation energy (no corrections): -667.4 meV per atom



Record 12
Computed, not measured: an optimized crystal structure of RbIrF2 at the GGA-PBE level of DFT.

The structure in POSCAR format:
```
RbIrF2
1.0
1.560 0.901 7.849
-1.560 0.901 7.849
0.000 -1.801 7.849
Rb Ir F
1 1 2
direct
0.000 0.000 0.000
0.500 0.500 0.500
0.414 0.414 0.414
0.586 0.586 0.586
```

* total moment: 0.48 μB/f.u.
* VASP energy: -4.51 eV per atom
* N(E_F): 2.86 states/eV/f.u.
* SG: No. 166
* E above lowest polymorph: 0.0 meV/atom
* formation energy (no corrections): -1118.5 meV per atom